w.
VASP calculation (PBE) on a geometry-optimized Ag3Pd2Pt structure.

Computed properties:
As for the density of states at the Fermi level: 0.878 states/eV per atom.

Geometry as POSCAR:
```
Ag3Pd2Pt
1.0
5.7206 0.0000 0.0000
-2.8603 4.9542 0.0000
0.0000 0.0000 7.0111
Ag Pd Pt
6 4 2
Direct
0.1678 0.3356 0.1668 Ag
0.1678 0.8322 0.1668 Ag
0.3356 0.1678 0.8332 Ag
0.6644 0.8322 0.1668 Ag
0.8322 0.1678 0.8332 Ag
0.8322 0.6644 0.8332 Ag
0.0000 0.0000 0.5000 Pd
0.0000 0.5000 0.5000 Pd
0.5000 0.0000 0.5000 Pd
0.5000 0.5000 0.5000 Pd
0.3333 0.6667 0.8201 Pt
0.6667 0.3333 0.1799 Pt
```

---

x.
VASP calculation (PBE) on a geometry-optimized Ag3Pd2Pt structure.

Computed properties:
As for the density of states at the Fermi level: 0.620 states/eV per atom.

Geometry as POSCAR:
```
Ag3Pd2Pt
1.0
9.2340 -1.3946 0.0000
9.2340 1.3946 0.0000
-2.6385 0.0000 7.9168
Ag Pd Pt
6 4 2
Direct
0.0571 0.0571 0.4275 Ag
0.1885 0.1885 0.7042 Ag
0.4312 0.4312 0.2062 Ag
0.5688 0.5688 0.7938 Ag
0.8115 0.8115 0.2958 Ag
0.9429 0.9429 0.5725 Ag
0.1946 0.1946 0.3743 Pd
0.4249 0.4249 0.8682 Pd
0.5751 0.5751 0.1318 Pd
0.8054 0.8054 0.6257 Pd
0.1917 0.1917 0.0412 Pt
0.8083 0.8083 0.9588 Pt
```

---

w comes first in stability; the runner-up is 49 meV/atom higher.

---

w.
VASP calculation (PBE) on a geometry-optimized Ag2Pd6Pt structure.

Computed properties:
As for the density of states at the Fermi level: 1.893 states/eV per atom.

Geometry as POSCAR:
```
Ag2Pd6Pt
1.0
4.4458 -1.9892 0.0000
4.4458 1.9892 0.0000
-2.5629 0.0000 8.0867
Ag Pd Pt
2 6 1
Direct
0.1671 0.1671 0.0564 Ag
0.8329 0.8329 0.9436 Ag
0.1614 0.1614 0.7161 Pd
0.1696 0.1696 0.3911 Pd
0.4967 0.4967 0.8272 Pd
0.5033 0.5033 0.1728 Pd
0.8304 0.8304 0.6089 Pd
0.8386 0.8386 0.2839 Pd
0.5000 0.5000 0.5000 Pt
```

---

x.
VASP calculation (PBE) on a geometry-optimized Ag2Pd6Pt structure.

Computed properties:
As for the density of states at the Fermi level: 1.690 states/eV per atom.

Geometry as POSCAR:
```
Ag2Pd6Pt
1.0
5.0926 -4.7697 0.0000
5.0926 4.7697 0.0000
-4.1750 0.0000 5.9839
Ag Pd Pt
4 12 2
Direct
0.0440 0.2890 0.4144 Ag
0.2890 0.0440 0.9144 Ag
0.7110 0.9560 0.0856 Ag
0.9560 0.7110 0.5856 Ag
0.0743 0.8207 0.0326 Pd
0.1499 0.4117 0.8635 Pd
0.1793 0.9257 0.4674 Pd
0.2681 0.5127 0.3078 Pd
0.4117 0.1499 0.3635 Pd
0.4873 0.7319 0.1922 Pd
0.5127 0.2681 0.8078 Pd
0.5883 0.8501 0.6365 Pd
0.7319 0.4873 0.6922 Pd
0.8207 0.0743 0.5326 Pd
0.8501 0.5883 0.1365 Pd
0.9257 0.1793 0.9674 Pd
0.3778 0.6222 0.7500 Pt
0.6222 0.3778 0.2500 Pt
```

---

w comes first in stability; the runner-up is 83 meV/atom higher.

---

w.
VASP calculation (PBE) on a geometry-optimized AgPd5Pt2 structure.

Computed properties:
As for the density of states at the Fermi level: 1.600 states/eV per atom.

Geometry as POSCAR:
```
AgPd5Pt2
1.0
2.7502 0.0000 0.0000
0.0000 13.7992 0.0000
-1.3630 0.0000 7.0908
Ag Pd Pt
2 10 4
Direct
0.1064 0.2500 0.2174 Ag
0.8936 0.7500 0.7826 Ag
0.2226 0.0851 0.4453 Pd
0.2226 0.4149 0.4453 Pd
0.3316 0.2500 0.6614 Pd
0.4453 0.5821 0.8894 Pd
0.4453 0.9179 0.8894 Pd
0.5547 0.0821 0.1106 Pd
0.5547 0.4179 0.1106 Pd
0.6684 0.7500 0.3386 Pd
0.7774 0.5851 0.5547 Pd
0.7774 0.9149 0.5547 Pd
0.1107 0.5889 0.2206 Pt
0.1107 0.9111 0.2206 Pt
0.8893 0.0889 0.7794 Pt
0.8893 0.4111 0.7794 Pt
```

---

x.
VASP calculation (PBE) on a geometry-optimized AgPd5Pt2 structure.

Computed properties:
As for the density of states at the Fermi level: 1.381 states/eV per atom.

Geometry as POSCAR:
```
AgPd5Pt2
1.0
-3.4423 3.4423 5.5291
3.4423 -3.4423 5.5291
3.4423 3.4423 -5.5291
Ag Pd Pt
2 10 4
Direct
0.2500 0.2500 0.0000 Ag
0.7500 0.7500 0.0000 Ag
0.0000 0.0000 0.0000 Pd
0.0131 0.5131 0.2013 Pd
0.1882 0.9869 0.5000 Pd
0.3118 0.8118 0.7987 Pd
0.4869 0.6882 0.5000 Pd
0.5000 0.5000 0.0000 Pd
0.5131 0.3118 0.5000 Pd
0.6882 0.1882 0.2013 Pd
0.8118 0.0131 0.5000 Pd
0.9869 0.4869 0.7987 Pd
0.1433 0.3567 0.5000 Pt
0.3567 0.8567 0.2133 Pt
0.6433 0.1433 0.7867 Pt
0.8567 0.6433 0.5000 Pt
```

---

w comes first in stability; the runner-up is 34 meV/atom higher.

---

w.
VASP calculation (PBE) on a geometry-optimized Ag2Pd8Pt3 structure.

Computed properties:
As for the density of states at the Fermi level: 1.499 states/eV per atom.

Geometry as POSCAR:
```
Ag2Pd8Pt3
1.0
6.5962 -3.5605 0.0000
6.5962 3.5605 0.0000
-0.2245 0.0000 4.6453
Ag Pd Pt
2 8 3
Direct
0.1594 0.1594 0.2415 Ag
0.8406 0.8406 0.7585 Ag
0.0485 0.0485 0.7430 Pd
0.1148 0.5415 0.3145 Pd
0.3152 0.3152 0.8084 Pd
0.4585 0.8852 0.6855 Pd
0.5415 0.1148 0.3145 Pd
0.6848 0.6848 0.1916 Pd
0.8852 0.4585 0.6855 Pd
0.9515 0.9515 0.2570 Pd
0.3157 0.6843 0.0000 Pt
0.5000 0.5000 0.5000 Pt
0.6843 0.3157 0.0000 Pt
```

---

x.
VASP calculation (PBE) on a geometry-optimized Ag2Pd8Pt3 structure.

Computed properties:
As for the density of states at the Fermi level: 1.671 states/eV per atom.

Geometry as POSCAR:
```
Ag2Pd8Pt3
1.0
4.6161 -8.5601 0.0000
4.6161 8.5601 0.0000
0.0000 0.0000 2.7813
Ag Pd Pt
2 8 3
Direct
0.2299 0.7701 0.0000 Ag
0.7701 0.2299 0.0000 Ag
0.0834 0.9166 0.5000 Pd
0.1040 0.3896 0.0000 Pd
0.3656 0.6344 0.5000 Pd
0.3896 0.1040 0.0000 Pd
0.6104 0.8960 0.0000 Pd
0.6344 0.3656 0.5000 Pd
0.8960 0.6104 0.0000 Pd
0.9166 0.0834 0.5000 Pd
0.2489 0.2489 0.5000 Pt
0.5000 0.5000 0.0000 Pt
0.7511 0.7511 0.5000 Pt
```

---

x comes first in stability; the runner-up is 15 meV/atom higher.

---

w.
VASP calculation (PBE) on a geometry-optimized Ag2Pd5Pt structure.

Computed properties:
As for the density of states at the Fermi level: 1.639 states/eV per atom.

Geometry as POSCAR:
```
Ag2Pd5Pt
1.0
-1.3621 4.4491 5.3390
1.3621 -4.4491 5.3390
1.3621 4.4491 -5.3390
Ag Pd Pt
2 5 1
Direct
0.2460 0.2460 0.0000 Ag
0.7540 0.7540 0.0000 Ag
0.1369 0.8760 0.2610 Pd
0.3850 0.1240 0.2610 Pd
0.5000 0.5000 0.0000 Pd
0.6150 0.8760 0.7390 Pd
0.8631 0.1240 0.7390 Pd
0.0000 0.5000 0.5000 Pt
```

---

x.
VASP calculation (PBE) on a geometry-optimized Ag2Pd5Pt structure.

Computed properties:
As for the density of states at the Fermi level: 1.681 states/eV per atom.

Geometry as POSCAR:
```
Ag2Pd5Pt
1.0
-3.4704 3.4704 5.5205
3.4704 -3.4704 5.5205
3.4704 3.4704 -5.5205
Ag Pd Pt
4 10 2
Direct
0.1441 0.6441 0.7882 Ag
0.3559 0.1441 0.5000 Ag
0.6441 0.8559 0.5000 Ag
0.8559 0.3559 0.2118 Ag
0.0000 0.0000 0.0000 Pd
0.0158 0.8182 0.5000 Pd
0.1818 0.6818 0.1976 Pd
0.3182 0.5158 0.5000 Pd
0.4842 0.9842 0.8024 Pd
0.5000 0.5000 0.0000 Pd
0.5158 0.0158 0.1976 Pd
0.6818 0.4842 0.5000 Pd
0.8182 0.3182 0.8024 Pd
0.9842 0.1818 0.5000 Pd
0.2500 0.2500 0.0000 Pt
0.7500 0.7500 0.0000 Pt
```

---

w comes first in stability; the runner-up is 89 meV/atom higher.

---

w.
VASP calculation (PBE) on a geometry-optimized PuAgPd structure.

Computed properties:
As for the density of states at the Fermi level: 3.157 states/eV per atom.

Geometry as POSCAR:
```
PuAgPd
1.0
5.0681 -2.1839 0.0000
5.0681 2.1839 0.0000
-2.3108 0.0000 5.5287
Pu Ag Pd
2 2 2
Direct
0.0174 0.0174 0.2644 Pu
0.9826 0.9826 0.7356 Pu
0.3143 0.3143 0.9030 Ag
0.6857 0.6857 0.0970 Ag
0.3324 0.3324 0.4059 Pd
0.6676 0.6676 0.5941 Pd
```

---

x.
VASP calculation (PBE) on a geometry-optimized PuAgPd structure.

Computed properties:
As for the density of states at the Fermi level: 3.938 states/eV per atom.

Geometry as POSCAR:
```
PuAgPd
1.0
4.7867 -2.3399 0.0000
4.7867 2.3399 0.0000
-1.1224 0.0000 5.9767
Pu Ag Pd
2 2 2
Direct
0.1089 0.1089 0.3384 Pu
0.8911 0.8911 0.6616 Pu
0.2354 0.2354 0.8733 Ag
0.7646 0.7646 0.1267 Ag
0.4075 0.4075 0.3050 Pd
0.5925 0.5925 0.6950 Pd
```

---

w comes first in stability; the runner-up is 42 meV/atom higher.

---

w.
VASP calculation (PBE) on a geometry-optimized PuAgPd structure.

Computed properties:
As for the density of states at the Fermi level: 4.153 states/eV per atom.

Geometry as POSCAR:
```
PuAgPd
1.0
4.0493 0.0000 0.0000
0.0000 4.0493 0.0000
0.0000 0.0000 7.8050
Pu Ag Pd
2 2 2
Direct
0.2500 0.2500 0.1565 Pu
0.7500 0.7500 0.8435 Pu
0.2500 0.7500 0.5000 Ag
0.7500 0.2500 0.5000 Ag
0.2500 0.2500 0.7708 Pd
0.7500 0.7500 0.2292 Pd
```

---

x.
VASP calculation (PBE) on a geometry-optimized PuAgPd structure.

Computed properties:
As for the density of states at the Fermi level: 3.321 states/eV per atom.

Geometry as POSCAR:
```
PuAgPd
1.0
-1.7257 1.7257 5.2414
1.7257 -1.7257 5.2414
1.7257 1.7257 -5.2414
Pu Ag Pd
1 1 1
Direct
0.0000 0.0000 0.0000 Pu
0.3049 0.3049 0.0000 Ag
0.6634 0.6634 0.0000 Pd
```

---

w comes first in stability; the runner-up is 99 meV/atom higher.

---

w.
VASP calculation (PBE) on a geometry-optimized PuAg2Pd structure.

Computed properties:
As for the density of states at the Fermi level: 2.117 states/eV per atom.

Geometry as POSCAR:
```
PuAg2Pd
1.0
3.0965 0.0000 0.0000
0.0000 3.0965 0.0000
0.0000 0.0000 8.1872
Pu Ag Pd
1 2 1
Direct
0.0000 0.0000 0.0000 Pu
0.5000 0.5000 0.2848 Ag
0.5000 0.5000 0.7152 Ag
0.0000 0.0000 0.5000 Pd
```

---

x.
VASP calculation (PBE) on a geometry-optimized PuAg2Pd structure.

Computed properties:
As for the density of states at the Fermi level: 3.064 states/eV per atom.

Geometry as POSCAR:
```
PuAg2Pd
1.0
4.0598 0.0000 0.0000
0.0000 4.0598 0.0000
0.0000 0.0000 4.9866
Pu Ag Pd
1 2 1
Direct
0.0000 0.0000 0.0000 Pu
0.0000 0.5000 0.5000 Ag
0.5000 0.0000 0.5000 Ag
0.5000 0.5000 0.0000 Pd
```

---

x comes first in stability; the runner-up is 65 meV/atom higher.